1.
NaLaH, optimized geometry, DFT PBE; energy relative to the lowest polymorph listed for this composition = 117 meV/atom; size of the total moment = 0.000 μB per formula unit; symmetry = No. 156; calculated total energy = -3.297 eV per atom
1.0
3.6059 0.0000 0.0000
-1.8030 3.1228 0.0000
0.0000 0.0000 6.5642
Na La H
1 1 1
direct
0.0000 0.0000 0.0000
0.6667 0.3333 0.5178
0.3333 0.6667 0.7026

---

2.
Ac2GeRu, optimized geometry, DFT PBE; size of the total moment = 0.000 μB per formula unit; symmetry = No. 2; energy relative to the elements = -429 meV per atom; calculated total energy = -5.957 eV per atom
1.0
4.0801 0.0000 0.0000
-0.0011 6.3772 0.0000
-0.0198 -3.0662 8.7212
Ac Ge Ru
4 2 2
direct
0.2494 0.2025 0.4162
0.2505 0.7185 0.9430
0.7495 0.2815 0.0570
0.7506 0.7975 0.5838
0.2497 0.6690 0.2799
0.7503 0.3310 0.7201
0.2505 0.1212 0.7813
0.7495 0.8788 0.2187

---

Which formula does entry 1 have? NaLaH

---

Among the records above, which one has the lowest calculated total energy? Ac2GeRu

---

Which formula does entry 1 have? NaLaH